(1)
# TeAsPbO6

A relaxed structure of TeAsPbO6 (GGA-PBE, Alexandria).

a b c (Å): 5.305 5.305 5.467
angles (deg): 90.00 90.00 60.00
Each line ends with the local moment (μB).
Positions (direct):
Pb 0.000 0.000 0.000  0.01
O 0.396 0.631 0.300  0.05
O 0.631 0.973 0.300  0.05
O 0.973 0.396 0.300  0.05
O 0.396 0.973 0.700  0.05
O 0.631 0.396 0.700  0.05
O 0.973 0.631 0.700  0.05
As 0.667 0.667 0.500  0.00
Te 0.333 0.333 0.500  0.08

## Properties
Fermi-level density of states   4.024 states/eV per cell
Formation energy without anion corrections   -1.065 eV/atom
Space group   P312, No. 149



(2)
# ThAs2PbO8

A relaxed structure of ThAs2PbO8 (GGA-PBE, Alexandria).

a b c (Å): 5.335 5.335 8.055
angles (deg): 90.05 90.05 66.78
Positions (direct):
O 0.278 0.278 0.565
O 0.772 0.286 0.223
O 0.228 0.714 0.777
O 0.286 0.772 0.223
O 0.722 0.722 0.435
O 0.244 0.244 0.924
O 0.756 0.756 0.076
O 0.714 0.228 0.777
Pb 0.000 0.000 0.500
As 0.639 0.639 0.247
As 0.361 0.361 0.753
Th 0.000 0.000 0.000

## Properties
Fermi-level density of states   0.000 states/eV per cell
Formation energy without anion corrections   -1.904 eV/atom
Space group   C2/m, No. 12



(3)
# TiAsPbO5

A relaxed structure of TiAsPbO5 (GGA-PBE, Alexandria).

a b c (Å): 5.882 5.882 7.470
angles (deg): 104.91 104.91 105.65
Positions (direct):
O 0.107 0.701 0.899
O 0.055 0.945 0.250
O 0.701 0.107 0.399
O 0.893 0.299 0.101
O 0.235 0.367 0.591
O 0.945 0.055 0.750
O 0.765 0.633 0.409
O 0.367 0.235 0.091
O 0.633 0.765 0.909
O 0.299 0.893 0.601
Ti 0.000 0.000 0.000
Ti 0.000 0.000 0.500
Pb 0.687 0.313 0.750
Pb 0.313 0.687 0.250
As 0.684 0.316 0.250
As 0.316 0.684 0.750

## Properties
Fermi-level density of states   4.825 states/eV per cell
Formation energy without anion corrections   -1.774 eV/atom
Space group   C2/c, No. 15